This record from Alexandria describes a relaxed structure of Mg3Sc2Al2. The functional is PBE-GGA.

## Properties
Its space-group type is Cmmm. The calculation puts the spin magnetization at 0.00 μB per cell. As for the formation enthalpy at 0 K: -1.66 eV per formula unit.

POSCAR file:
```
Mg3Sc2Al2
1.0
-2.044 -0.612 -2.440
1.211 -4.228 0.047
-8.143 0.031 6.811
Al Sc Mg
2 2 3
Cartesian
-5.314 -1.492 2.672 Al
-3.662 -3.317 1.746 Al
-2.460 -0.680 2.230 Sc
-4.472 -3.517 4.628 Sc
-1.579 -2.742 -0.142 Mg
-7.396 -2.068 4.560 Mg
0.000 0.000 0.000 Mg
```


This record from Alexandria describes a relaxed structure of MgCuTe2. The functional is PBE-GGA.

## Properties
Its space-group type is P2/m. The value obtained for the energy relative to the lowest polymorph listed for this composition is 23.5 meV/atom. The value obtained for the energy relative to the elements, uncorrected is -0.32 eV per atom. The calculation puts the spin magnetization at 0.00 μB per cell.

POSCAR file:
```
MgCuTe2
1.0
-2.743 -0.426 -2.972
-2.321 -5.933 2.994
-3.726 -2.184 3.752
Te Cu Mg
2 1 1
Cartesian
0.000 0.000 0.000 Te
-2.532 -3.180 0.011 Te
-4.395 -4.272 1.887 Cu
-1.863 -1.092 1.876 Mg
```


This record from Alexandria describes a relaxed structure of ZrBe10Rh. The functional is PBE-GGA.

## Properties
Its space-group type is Pmmm. The calculation puts the spin magnetization at 0.00 μB per cell. As for the formation enthalpy at 0 K: -2.62 eV per formula unit.

POSCAR file:
```
ZrBe10Rh
1.0
-0.868 -2.178 2.588
-2.397 -2.354 -2.785
6.083 -4.312 -1.589
Be Rh Zr
10 1 1
Cartesian
-0.656 -3.975 -1.209 Be
0.546 -2.794 0.188 Be
2.607 -3.245 0.499 Be
2.272 -6.050 -1.974 Be
2.103 -1.491 -0.550 Be
-1.632 -2.266 -0.099 Be
3.748 -4.684 -2.685 Be
-0.062 -1.983 -1.690 Be
3.980 -2.821 -1.040 Be
3.474 -4.870 -0.578 Be
1.843 -3.333 -2.187 Rh
0.000 0.000 0.000 Zr
```


Number 1: DFT total energy -26.59 eV per cell. Number 2: DFT total energy -13.26 eV per cell. Number 3: DFT total energy -55.78 eV per cell.